# 1
Computed, not measured: a crystal of Ti2InNi2 relaxed with PBEsol at the meta-GGA SCAN level of DFT.

Structure (CIF):
```
data_Ti2InNi2
_cell_length_a 6.842
_cell_length_b 6.842
_cell_length_c 6.169
_cell_angle_alpha 90.00
_cell_angle_beta 90.00
_cell_angle_gamma 90.00
_symmetry_space_group_name_H-M 'P 42/m n m'
_symmetry_Int_Tables_number 136
_symmetry_space_group_name_Hall '-P 4n 2n'
loop_
_atom_site_label
_atom_site_fract_x
_atom_site_fract_y
_atom_site_fract_z
Ti1 0.151 0.151 0.000
Ti2 0.178 0.178 0.500
In1 0.000 0.500 0.250
Ni1 0.127 0.873 0.283
```

Computed properties:
Calculated formation energy ... -495 meV/atom

***

# 2
Computed, not measured: a crystal of Mo2RuRh relaxed with PBEsol at the meta-GGA SCAN level of DFT.

Structure (CIF):
```
data_Mo2RuRh
_cell_length_a 3.863
_cell_length_b 3.863
_cell_length_c 3.817
_cell_angle_alpha 90.00
_cell_angle_beta 90.00
_cell_angle_gamma 90.00
_symmetry_space_group_name_H-M 'P 4/m m m'
_symmetry_Int_Tables_number 123
_symmetry_space_group_name_Hall '-P 4 2'
loop_
_atom_site_label
_atom_site_fract_x
_atom_site_fract_y
_atom_site_fract_z
Mo1 0.000 0.500 0.000
Ru1 0.000 0.000 0.500
Rh1 0.500 0.500 0.500
```

Computed properties:
Offset from the most stable computed form ... 3.6 meV/atom
Calculated formation energy ... -74 meV/atom

***

# 3
Computed, not measured: a crystal of Y3BeI relaxed with PBEsol at the meta-GGA SCAN level of DFT.

Structure (CIF):
```
data_Y3BeI
_cell_length_a 5.483
_cell_length_b 5.483
_cell_length_c 5.483
_cell_angle_alpha 90.00
_cell_angle_beta 90.00
_cell_angle_gamma 90.00
_symmetry_space_group_name_H-M 'P m -3 m'
_symmetry_Int_Tables_number 221
_symmetry_space_group_name_Hall '-P 4 2 3'
loop_
_atom_site_label
_atom_site_fract_x
_atom_site_fract_y
_atom_site_fract_z
Y1 0.000 0.000 0.500
Be1 0.500 0.500 0.500
I1 0.000 0.000 0.000
```

Computed properties:
E_form (uncorrected) ... 0.625 eV per atom

***

- Which formula does entry 3 have?
  Y3BeI

***

- Which formula does entry 2 have?
  Mo2RuRh

***

Please write out number 1 again, unchanged.
Computed, not measured: a crystal of Ti2InNi2 relaxed with PBEsol at the meta-GGA SCAN level of DFT.

Structure (CIF):
```
data_Ti2InNi2
_cell_length_a 6.842
_cell_length_b 6.842
_cell_length_c 6.169
_cell_angle_alpha 90.00
_cell_angle_beta 90.00
_cell_angle_gamma 90.00
_symmetry_space_group_name_H-M 'P 42/m n m'
_symmetry_Int_Tables_number 136
_symmetry_space_group_name_Hall '-P 4n 2n'
loop_
_atom_site_label
_atom_site_fract_x
_atom_site_fract_y
_atom_site_fract_z
Ti1 0.151 0.151 0.000
Ti2 0.178 0.178 0.500
In1 0.000 0.500 0.250
Ni1 0.127 0.873 0.283
```

Computed properties:
Calculated formation energy ... -495 meV/atom